<one>
# SrTm2Se4

Crystalline SrTm2Se4 at its relaxed geometry (PBE-GGA, Alexandria).

Calculated values
V   27.52 A^3/atom
Crystal system   orthorhombic
Magnetic moment   0.0 μB per formula unit

a = 4.099 Å, b = 13.429 Å, c = 13.995 Å
α = 90.00°, β = 90.00°, γ = 90.00°
Space group Cmcm (No. 63)
One atom of each set of equivalent atoms:
Sr  0.000  0.111  0.250 [4 per cell]
Tm  0.000  0.365  0.068 [8 per cell]
Se  0.000  0.000  0.000 [4 per cell]
Se  0.000  0.270  0.614 [8 per cell]
Se  0.000  0.444  0.250 [4 per cell]

<two>
# SrTm2Se4

Crystalline SrTm2Se4 at its relaxed geometry (PBE-GGA, Alexandria).

Calculated values
V   27.44 A^3/atom
Crystal system   orthorhombic
Magnetic moment   0.0 μB per formula unit

a = 12.575 Å, b = 4.109 Å, c = 14.870 Å
α = 90.00°, β = 90.00°, γ = 90.00°
Space group Pnma (No. 62)
One atom of each set of equivalent atoms:
Sr  0.240  0.250  0.166 [4 per cell]
Tm  0.060  0.250  0.389 [4 per cell]
Tm  0.083  0.250  0.902 [4 per cell]
Se  0.029  0.750  0.784 [4 per cell]
Se  0.091  0.250  0.576 [4 per cell]
Se  0.128  0.750  0.030 [4 per cell]
Se  0.204  0.750  0.331 [4 per cell]

Of them, the most stable is <two> and the least stable is <one>.

<one>
# SrU2Se4

Crystalline SrU2Se4 at its relaxed geometry (PBE-GGA, Alexandria).

Calculated values
V   31.21 A^3/atom
DOS(E_F)   1.00 states/eV/atom
Crystal system   monoclinic
Magnetic moment   6.0 μB per formula unit

a = 6.887 Å, b = 4.128 Å, c = 7.685 Å
α = 90.00°, β = 90.26°, γ = 90.00°
Space group P2/m (No. 10)
One atom of each set of equivalent atoms:
Sr  0.000  0.000  0.000 [1 per cell]
U  0.000  0.000  0.500 [1 per cell]
U  0.500  0.500  0.500 [1 per cell]
Se  0.161  0.500  0.730 [2 per cell]
Se  0.337  0.000  0.282 [2 per cell]

<two>
# SrU2Se4

Crystalline SrU2Se4 at its relaxed geometry (PBE-GGA, Alexandria).

Calculated values
V   28.35 A^3/atom
DOS(E_F)   1.49 states/eV/atom
Crystal system   orthorhombic
Magnetic moment   5.7 μB per formula unit

a = 4.128 Å, b = 13.583 Å, c = 14.154 Å
α = 90.00°, β = 90.00°, γ = 90.00°
Space group Cmcm (No. 63)
One atom of each set of equivalent atoms:
Sr  0.000  0.109  0.250 [4 per cell]
U  0.000  0.366  0.063 [8 per cell]
Se  0.000  0.000  0.000 [4 per cell]
Se  0.000  0.272  0.620 [8 per cell]
Se  0.000  0.442  0.250 [4 per cell]

Of them, the most stable is <two> and the least stable is <one>.

<one>
# SrWSe2

Crystalline SrWSe2 at its relaxed geometry (PBE-GGA, Alexandria).

Calculated values
V   24.80 A^3/atom
DOS(E_F)   0.61 states/eV/atom
Crystal system   orthorhombic
Magnetic moment   0.8 μB per formula unit

a = 3.630 Å, b = 6.139 Å, c = 8.904 Å
α = 90.00°, β = 90.00°, γ = 90.00°
Space group Immm (No. 71)
One atom of each set of equivalent atoms:
Sr  0.000  0.000  0.000 [2 per cell]
W  0.000  0.000  0.500 [2 per cell]
Se  0.000  0.500  0.196 [4 per cell]

<two>
# SrWSe2

Crystalline SrWSe2 at its relaxed geometry (PBE-GGA, Alexandria).

Calculated values
V   26.55 A^3/atom
DOS(E_F)   0.91 states/eV/atom
Crystal system   trigonal
Magnetic moment   0.0 μB per formula unit

a = 3.6147 Å, b = 3.6147 Å, c = 28.1522 Å
α = 90.00°, β = 90.00°, γ = 120.00°
Space group R-3m (No. 166, hexagonal axes)
One atom of each set of equivalent atoms:
Sr  0.0000  0.0000  0.0000 [3 per cell]
W  0.0000  0.0000  0.5000 [3 per cell]
Se  0.0000  0.0000  0.1113 [6 per cell]

<three>
# SrWSe2

Crystalline SrWSe2 at its relaxed geometry (PBE-GGA, Alexandria).

Calculated values
V   22.08 A^3/atom
DOS(E_F)   0.52 states/eV/atom
Crystal system   orthorhombic
Magnetic moment   0.0 μB per formula unit

a = 3.466 Å, b = 3.673 Å, c = 13.872 Å
α = 90.00°, β = 90.00°, γ = 90.00°
Space group Imm2 (No. 44)
One atom of each set of equivalent atoms:
Sr  0.000  0.000  0.000 [2 per cell]
W  0.000  0.500  0.252 [2 per cell]
Se  0.000  0.000  0.617 [2 per cell]
Se  0.000  0.500  0.827 [2 per cell]

Of them, the most stable is <three> and the least stable is <two>.

<one>
# SrWSe2

Crystalline SrWSe2 at its relaxed geometry (PBE-GGA, Alexandria).

Calculated values
V   23.04 A^3/atom
DOS(E_F)   0.31 states/eV/atom
Crystal system   trigonal
Magnetic moment   2.0 μB per formula unit

a = 4.1165 Å, b = 4.1165 Å, c = 18.8421 Å
α = 90.00°, β = 90.00°, γ = 120.00°
Space group R-3m (No. 166, hexagonal axes)
One atom of each set of equivalent atoms:
Sr  0.0000  0.0000  0.0000 [3 per cell]
W  0.0000  0.0000  0.5000 [3 per cell]
Se  0.0000  0.0000  0.2317 [6 per cell]

<two>
# SrWSe2

Crystalline SrWSe2 at its relaxed geometry (PBE-GGA, Alexandria).

Calculated values
V   20.25 A^3/atom
DOS(E_F)   0.99 states/eV/atom
Crystal system   tetragonal
Magnetic moment   0.0 μB per formula unit

a = 3.333 Å, b = 3.333 Å, c = 7.294 Å
α = 90.00°, β = 90.00°, γ = 90.00°
Space group P4/mmm (No. 123)
One atom of each set of equivalent atoms:
Sr  0.000  0.000  0.000 [1 per cell]
W  0.000  0.000  0.500 [1 per cell]
Se  0.500  0.500  0.295 [2 per cell]

<three>
# SrWSe2

Crystalline SrWSe2 at its relaxed geometry (PBE-GGA, Alexandria).

Calculated values
V   24.96 A^3/atom
DOS(E_F)   1.15 states/eV/atom
Crystal system   tetragonal
Magnetic moment   0.0 μB per formula unit

a = 3.276 Å, b = 3.276 Å, c = 9.304 Å
α = 90.00°, β = 90.00°, γ = 90.00°
Space group P4mm (No. 99)
One atom of each set of equivalent atoms:
Sr  0.000  0.000  0.000 [1 per cell]
W  0.500  0.500  0.285 [1 per cell]
Se  0.000  0.000  0.409 [1 per cell]
Se  0.500  0.500  0.775 [1 per cell]

Of them, the most stable is <one> and the least stable is <three>.